Material: Cu2AgTe4
Method: DFT, PBE
State: relaxed

Computed properties:
* E_form (uncorrected): 0.0626 eV per atom
* size of the total moment: 0.0 μB per cell

Geometry as CIF:
```
data_Cu2AgTe4
_chemical_formula_sum 'Cu4 Ag2 Te8'
_cell_length_a 8.0153
_cell_length_b 8.0221
_cell_length_c 8.0344
_cell_angle_alpha 60.09
_cell_angle_beta 60.12
_cell_angle_gamma 89.55
_space_group_name_H-M_alt 'P -1'
_space_group_IT_number 2
loop_
_space_group_symop_operation_xyz
'x,y,z'
'-x,-y,-z'
loop_
_atom_site_label
_atom_site_type_symbol
_atom_site_fract_x
_atom_site_fract_y
_atom_site_fract_z
Cu1 Cu 0.0000 0.0000 0.0000
Cu2 Cu 0.0000 0.0000 0.5000
Cu3 Cu 0.0000 0.5000 0.0000
Cu4 Cu 0.5000 0.0000 0.5000
Ag1 Ag 0.3764 0.6229 0.2507
Te1 Te 0.2096 0.2336 0.0289
Te2 Te 0.2335 0.2093 0.5292
Te3 Te 0.2369 0.7608 0.5290
Te4 Te 0.2392 0.7629 0.9713
```